Entry 1:
## SrUO3 (GGA-PBE)

Data for crystalline SrUO3 at its relaxed geometry.

Computed properties:
- Formation energy (no corrections): -3.03 eV/atom
- Energy: -8.5952 eV/atom
- Volume: 17.08 Å³ per atom

Cell: 7.4421 3.9691 5.7820 Å, 90.00 90.00 90.00°
Space group Pmma (No. 51)
Symmetry-distinct sites (fractional):
Sr 0.0000 0.0000 0.0000 x2
U 0.2500 0.5000 0.4681 x2
O 0.0438 0.5000 0.7273 x4
O 0.2500 0.0000 0.2906 x2

---

Entry 2:
## Sr5U5O19 (GGA-PBE)

Data for crystalline Sr5U5O19 at its relaxed geometry.

Computed properties:
- Formation energy (no corrections): -3.22 eV/atom
- Energy: -8.7024 eV/atom
- Volume: 14.97 Å³ per atom

Cell: 12.6939 4.0409 17.2421 Å, 90.00 100.95 90.00°
Space group Cm (No. 8)
Symmetry-distinct sites (fractional):
Sr 0.0000 0.0000 0.0000 x2
Sr 0.0744 0.5000 0.1983 x2
Sr 0.1899 0.0000 0.4006 x2
Sr 0.2897 0.5000 0.5998 x2
Sr 0.3886 0.0000 0.7978 x2
U 0.0880 0.0000 0.6973 x2
U 0.1856 0.5000 0.8898 x2
U 0.2899 0.0000 0.0941 x2
U 0.3937 0.5000 0.3124 x2
U 0.4922 0.0000 0.5038 x2
O 0.0367 0.0000 0.2809 x2
O 0.0414 0.5000 0.9174 x2
O 0.0857 0.5000 0.7689 x2
O 0.0927 0.5000 0.6255 x2
O 0.1392 0.5000 0.4772 x2
O 0.1434 0.0000 0.1281 x2
O 0.1914 0.0000 0.8239 x2
O 0.1986 0.0000 0.9722 x2
O 0.2372 0.0000 0.6759 x2
O 0.2382 0.5000 0.3167 x2
O 0.2898 0.5000 0.0683 x2
O 0.3392 0.5000 0.8820 x2
O 0.3420 0.0000 0.5224 x2
O 0.3735 0.0000 0.2165 x2
O 0.3877 0.0000 0.3722 x2
O 0.4401 0.5000 0.7223 x2
O 0.4412 0.0000 0.0683 x2
O 0.4866 0.5000 0.5739 x2
O 0.4929 0.5000 0.4304 x2

---

Entry 3:
## Sr2U2O7 (GGA-PBE)

Data for crystalline Sr2U2O7 at its relaxed geometry.

Computed properties:
- Formation energy (no corrections): -3.22 eV/atom
- Energy: -8.7296 eV/atom
- Volume: 16.41 Å³ per atom

Cell: 11.3032 11.3032 11.3032 Å, 90.00 90.00 90.00°
Space group Fd-3m (No. 227, origin choice 2)
Symmetry-distinct sites (fractional):
Sr 0.0000 0.0000 0.0000 x16
U 0.0000 0.0000 0.5000 x16
O 0.0718 0.3750 0.8750 x48
O 0.1250 0.1250 0.1250 x8

---

The lowest volume belongs to which entry?
Sr5U5O19

---

The highest volume belongs to which entry?
SrUO3

---

Among the records above, which one has the lowest energy?
Sr2U2O7